Below is Pm2PrNi9 after structural relaxation, with properties calculated at the GGA-PBE level.

Cell lengths 5.0417, 5.0417, 8.7301 Å; angles 73.22, 73.22, 60.00 degrees
Each line ends with the local moment (μB).
Fractional coordinates of all 12 atoms:
Ni: 0.5812 0.5812 0.7554  0.08
Ni: 0.3327 0.3327 0.0019  0.11
Ni: 0.4188 0.9179 0.2446  0.08
Ni: 0.5000 0.5000 0.5000  0.04
Ni: 0.9179 0.4188 0.2446  0.08
Ni: 0.5812 0.0821 0.7554  0.08
Ni: 0.6673 0.6673 0.9981  0.11
Ni: 0.0821 0.5812 0.7554  0.08
Ni: 0.4188 0.4188 0.2446  0.08
Pm: 0.1391 0.1391 0.5827  -0.01
Pm: 0.8609 0.8609 0.4173  -0.01
Pr: 0.0000 0.0000 0.0000  -0.01

Summary:
**Formation enthalpy at 0 K**: -321 meV per atom
**Space-group type**: R-3m, No. 166
**E**: -5.85 eV/atom

***

Below is SmHo3ThSc after structural relaxation, with properties calculated at the GGA-PBE level.

Cell lengths 5.0013, 7.8323, 10.4747 Å; angles 116.34, 90.00, 90.00 degrees
Fractional coordinates of all 12 atoms:
Ho: 0.7500 0.3867 0.2100
Ho: 0.2500 0.6338 0.4582
Ho: 0.7500 0.3662 0.5418
Ho: 0.7500 0.8712 0.0465
Ho: 0.2500 0.1288 0.9535
Ho: 0.2500 0.6133 0.7900
Sm: 0.7500 0.8767 0.7034
Sm: 0.2500 0.1233 0.2966
Th: 0.2500 0.6232 0.1245
Th: 0.7500 0.3768 0.8755
Sc: 0.7500 0.8734 0.3736
Sc: 0.2500 0.1266 0.6264

Summary:
**Formation enthalpy at 0 K**: 40 meV per atom
**Space-group type**: P2_1/m, No. 11
**E**: -5.33 eV/atom

***

Below is TaVMo2 after structural relaxation, with properties calculated at the GGA-PBE level.

Cell lengths 3.1558, 4.5079, 8.8554 Å; angles 90.00, 90.00, 90.00 degrees
Fractional coordinates of all 8 atoms:
Mo: 0.0000 0.7500 0.3664
Mo: 0.0000 0.2500 0.6336
Mo: 0.0000 0.7500 0.8851
Mo: 0.0000 0.2500 0.1149
V: 0.5000 0.7500 0.1203
V: 0.5000 0.2500 0.8797
Ta: 0.5000 0.7500 0.6295
Ta: 0.5000 0.2500 0.3705

Summary:
**Formation enthalpy at 0 K**: -142 meV per atom
**Space-group type**: Pmma, No. 51
**E**: -10.80 eV/atom

***

Below is ThSi2Tc2 after structural relaxation, with properties calculated at the GGA-PBE level.

Cell lengths 5.7873, 5.7873, 5.7873 Å; angles 136.88, 136.88, 62.62 degrees
Fractional coordinates of all 5 atoms:
Si: 0.6291 0.6291 0.0000
Si: 0.3709 0.3709 0.0000
Tc: 0.2500 0.7500 0.5000
Tc: 0.7500 0.2500 0.5000
Th: 0.0000 0.0000 0.0000

Summary:
**E_form (uncorrected)**: -0.673 eV per atom
**Space-group type**: I4/mmm, No. 139
**ΔE to the lowest computed polymorph**: 0 meV per atom
**E**: -8.47 eV/atom

***

Below is Th6Te3RuS2 after structural relaxation, with properties calculated at the GGA-PBE level.

Cell lengths 4.1150, 8.9380, 9.8493 Å; angles 107.65, 102.06, 90.00 degrees
Fractional coordinates of all 12 atoms:
Th: 0.6768 0.5639 0.3535
Th: 0.0076 0.2169 0.0153
Th: 0.6593 0.1118 0.3185
Th: 0.3232 0.4361 0.6465
Th: 0.9924 0.7831 0.9847
Th: 0.3407 0.8882 0.6815
Ru: 0.5000 0.0000 0.0000
Te: 0.8332 0.1645 0.6664
Te: 0.1668 0.8355 0.3336
Te: 0.5000 0.5000 0.0000
S: 0.8330 0.6605 0.6661
S: 0.1670 0.3395 0.3339

Summary:
**E_form (uncorrected)**: -1.254 eV per atom
**Space-group type**: C2/m, No. 12
**E**: -7.21 eV/atom

***

Below is CaScAlGe2 after structural relaxation, with properties calculated at the GGA-PBE level.

Cell lengths 4.9962, 5.0957, 4.9962 Å; angles 90.00, 90.00, 90.00 degrees
Fractional coordinates of all 5 atoms:
Ge: 0.0000 0.0000 0.5000
Ge: 0.5000 0.0000 0.0000
Ca: 0.5000 0.5000 0.5000
Al: 0.0000 0.0000 0.0000
Sc: 0.0000 0.5000 0.0000

Summary:
**Formation enthalpy at 0 K**: 193 meV per atom
**Space-group type**: P4/mmm, No. 123
**E**: -4.07 eV/atom

***

Below is TaMo2As after structural relaxation, with properties calculated at the GGA-PBE level.

Cell lengths 5.2815, 5.2815, 5.2815 Å; angles 138.28, 138.28, 60.47 degrees
Fractional coordinates of all 4 atoms:
Mo: 0.2500 0.7500 0.5000
Mo: 0.0000 0.0000 0.0000
Ta: 0.5000 0.5000 0.0000
As: 0.7500 0.2500 0.5000

Summary:
**Formation enthalpy at 0 K**: 69 meV per atom
**Space-group type**: I-4m2, No. 119
**E**: -9.47 eV/atom

***

Below is MgH2PdRh after structural relaxation, with properties calculated at the GGA-PBE level.

Cell lengths 3.1453, 3.1453, 5.7523 Å; angles 105.87, 105.87, 90.00 degrees
Fractional coordinates of all 5 atoms:
H: 0.2380 0.7380 0.4761
H: 0.7380 0.2380 0.4761
Rh: 0.1583 0.1583 0.3167
Mg: 0.5076 0.5076 0.0152
Pd: 0.8580 0.8580 0.7160

Summary:
**Space-group type**: I4mm, No. 107
**E**: -4.48 eV/atom

***

Below is BeTlHW2 after structural relaxation, with properties calculated at the GGA-PBE level.

Cell lengths 3.9239, 4.4203, 3.9239 Å; angles 90.00, 90.00, 90.00 degrees
Fractional coordinates of all 5 atoms:
Tl: 0.5000 0.5000 0.5000
H: 0.0000 0.0000 0.0000
W: 0.0000 0.0000 0.5000
W: 0.5000 0.0000 0.0000
Be: 0.0000 0.5000 0.0000

Summary:
**Space-group type**: P4/mmm, No. 123
**E**: -6.26 eV/atom

***

Below is YTmCoPt after structural relaxation, with properties calculated at the GGA-PBE level.

Cell lengths 4.8240, 4.8240, 4.8240 Å; angles 60.00, 60.00, 60.00 degrees
Each line ends with the local moment (μB).
Fractional coordinates of all 4 atoms:
Y: 0.5000 0.5000 0.5000  -0.08
Pt: 0.7500 0.7500 0.7500  0.03
Tm: 0.0000 0.0000 0.0000  -0.12
Co: 0.2500 0.2500 0.2500  0.74

Summary:
**Formation enthalpy at 0 K**: -688 meV per atom
**Space-group type**: F-43m, No. 216
**E**: -6.71 eV/atom

***

Below is SbRuAu after structural relaxation, with properties calculated at the GGA-PBE level.

Cell lengths 5.4842, 5.4843, 3.3415 Å; angles 72.26, 72.27, 35.47 degrees
Fractional coordinates of all 3 atoms:
Au: 0.9975 0.9975 0.0025
Sb: 0.6855 0.6855 0.3145
Ru: 0.3170 0.3170 0.6830

Summary:
**E_form (uncorrected)**: 0.205 eV per atom
**Space-group type**: I4mm, No. 107
**ΔE to the lowest computed polymorph**: 73 meV per atom
**E**: -5.35 eV/atom

***

Below is TbSm2Dy5 after structural relaxation, with properties calculated at the GGA-PBE level.

Cell lengths 5.0349, 7.1346, 14.2692 Å; angles 90.00, 90.00, 90.00 degrees
Fractional coordinates of all 16 atoms:
Dy: 0.0000 0.0001 0.2499
Dy: 0.0000 0.4999 0.7499
Dy: 0.5000 0.7500 0.1251
Dy: 0.0000 0.5000 0.5000
Dy: 0.0000 0.9999 0.7501
Dy: 0.0000 0.0000 0.0000
Dy: 0.0000 0.5001 0.2501
Dy: 0.5000 0.2500 0.8749
Dy: 0.5000 0.7500 0.6252
Dy: 0.5000 0.2500 0.3748
Tb: 0.0000 0.5000 0.0000
Tb: 0.0000 0.0000 0.5000
Sm: 0.5000 0.2500 0.6250
Sm: 0.5000 0.7500 0.3750
Sm: 0.5000 0.7500 0.8750
Sm: 0.5000 0.2500 0.1250

Summary:
**Formation enthalpy at 0 K**: 16 meV per atom
**Space-group type**: Pbam, No. 55
**E**: -4.62 eV/atom